# Tb8Tm2Mg

Crystalline Tb8Tm2Mg at its relaxed geometry (PBE, the Alexandria database).

Cell lengths 8.234, 8.234, 5.384 Å; angles 90.05, 90.05, 103.50 degrees
Atoms (fractional coordinates):
1 Tb 0.000 0.000 0.000
2 Tb 0.328 0.328 0.000
3 Tb 0.363 0.638 0.499
4 Tb 0.411 0.917 0.000
5 Tb 0.638 0.363 0.499
6 Tb 0.691 0.965 0.500
7 Tb 0.917 0.411 0.000
8 Tb 0.965 0.691 0.500
9 Tm 0.043 0.285 0.500
10 Tm 0.285 0.043 0.500
11 Mg 0.664 0.664 0.000

- Calculated volume: 32.3 A^3/atom
- Size of the total moment: 0.0 μB/cell
- Energy relative to the lowest polymorph listed for this composition: 0.000 eV/atom

# Sm6BeS5

Crystalline Sm6BeS5 at its relaxed geometry (PBE, the Alexandria database).

Cell lengths 6.981, 6.981, 6.958 Å; angles 99.63, 99.63, 119.87 degrees
Atoms (fractional coordinates):
1 Sm 0.082 0.410 0.747
2 Sm 0.245 0.245 0.253
3 Sm 0.410 0.082 0.747
4 Sm 0.590 0.918 0.253
5 Sm 0.755 0.755 0.747
6 Sm 0.918 0.590 0.253
7 Be 0.000 0.000 0.500
8 S 0.169 0.831 0.000
9 S 0.334 0.666 0.500
10 S 0.500 0.500 0.000
11 S 0.666 0.334 0.500
12 S 0.831 0.169 0.000

- Calculated volume: 23.1 A^3/atom
- Size of the total moment: 0.0 μB/cell
- Raw formation energy: -1679.7 meV/atom

# LaMn3

Crystalline LaMn3 at its relaxed geometry (PBE, the Alexandria database).

Cell lengths 5.138, 5.138, 5.138 Å; angles 131.45, 131.45, 71.10 degrees
Atoms (fractional coordinates):
1 La 0.000 0.000 0.000
2 Mn 0.250 0.750 0.500
3 Mn 0.500 0.500 0.000
4 Mn 0.750 0.250 0.500

- Calculated volume: 18.7 A^3/atom
- Size of the total moment: 10.0 μB/cell
- VASP energy: -7.614 eV/atom

# NbFeIr

Crystalline NbFeIr at its relaxed geometry (PBE, the Alexandria database).

Cell lengths 5.546, 5.546, 5.546 Å; angles 148.99, 148.99, 44.43 degrees
Atoms (fractional coordinates):
1 Nb 0.000 0.000 0.000
2 Fe 0.671 0.671 0.000
3 Ir 0.319 0.319 0.000

- Calculated volume: 15.1 A^3/atom
- Size of the total moment: 3.2 μB/cell
- VASP energy: -9.253 eV/atom

# Pm6Si2TeSe3

Crystalline Pm6Si2TeSe3 at its relaxed geometry (PBE, the Alexandria database).

Cell lengths 9.530, 9.530, 8.604 Å; angles 102.42, 102.42, 25.81 degrees
Atoms (fractional coordinates):
1 Pm 0.008 0.008 0.269
2 Pm 0.327 0.327 0.896
3 Pm 0.330 0.330 0.422
4 Pm 0.670 0.670 0.578
5 Pm 0.673 0.673 0.104
6 Pm 0.992 0.992 0.731
7 Si 0.167 0.167 0.336
8 Si 0.833 0.833 0.664
9 Te 0.500 0.500 0.000
10 Se 0.163 0.163 0.836
11 Se 0.500 0.500 0.500
12 Se 0.837 0.837 0.164

- Calculated volume: 27.7 A^3/atom
- Size of the total moment: 0.0 μB/cell
- Raw formation energy: -1447.7 meV/atom

# Ca2AgHIr

Crystalline Ca2AgHIr at its relaxed geometry (PBE, the Alexandria database).

Cell lengths 5.014, 5.014, 3.662 Å; angles 90.00, 90.00, 90.00 degrees
Atoms (fractional coordinates):
1 Ca 0.000 0.500 0.000
2 Ca 0.500 0.000 0.000
3 Ag 0.000 0.000 0.500
4 H 0.500 0.500 0.000
5 Ir 0.500 0.500 0.500

- Calculated volume: 18.4 A^3/atom
- Size of the total moment: 0.0 μB/cell
- VASP energy: -4.176 eV/atom